[1]
The following is a PBE calculation of KNdGa4 after structural relaxation, from Alexandria via LeMat-Bulk.

abc: 5.7291 5.7291 5.7291
angles: 60.00 60.00 60.00
With the nearest neighbours (Å) after each atom.
Sites, in units of the cell vectors:
K1 0.0000 0.0000 0.0000  12 Ga 3.36, 4 Nd 3.51
Nd1 0.7500 0.7500 0.7500  12 Ga 3.36, 4 K 3.51
Ga1 0.3756 0.3756 0.3756  6 Ga 2.85-2.88
Ga2 0.3756 0.3756 0.8731  6 Ga 2.85-2.88
Ga3 0.3756 0.8731 0.3756  6 Ga 2.85-2.88
Ga4 0.8731 0.3756 0.3756  6 Ga 2.85-2.88

Computed properties:
For the formation energy, the calculation gives -146 kJ/mol of formula units. The value obtained for the calculated volume is 133.0 Å³/f.u.



[2]
The following is a PBE calculation of K4Nd3GaO8 after structural relaxation, from Alexandria via LeMat-Bulk.

abc: 7.1610 7.1610 7.4531
angles: 117.62 117.62 58.25
With the nearest neighbours (Å) after each atom.
Sites, in units of the cell vectors:
K1 0.0000 0.0000 0.0000  2 O 2.61
K2 0.0000 0.5000 0.0000  6 O 2.76-2.95
K3 0.5000 0.0000 0.0000  6 O 2.76-2.95
K4 0.5000 0.5000 0.0000  6 O 2.78-2.96
Nd1 0.0000 0.0000 0.5000  6 O 2.38-2.44
Nd2 0.0000 0.5000 0.5000  6 O 2.36-2.47
Nd3 0.5000 0.0000 0.5000  6 O 2.36-2.47
Ga1 0.5000 0.5000 0.5000  4 O 2.05
O1 0.2241 0.2241 0.6922  3 Nd 2.38
O2 0.2416 0.2416 0.2793  2 Nd 2.36, 1 K 2.61
O3 0.2667 0.6942 0.6696  1 Ga 2.05
O4 0.3058 0.7333 0.3304  1 Ga 2.05
O5 0.6942 0.2667 0.6696  1 Ga 2.05
O6 0.7333 0.3058 0.3304  1 Ga 2.05
O7 0.7584 0.7584 0.7207  2 Nd 2.36, 1 K 2.61
O8 0.7759 0.7759 0.3078  3 Nd 2.38

Computed properties:
The value obtained for the calculated volume is 275.5 Å³/f.u. The formation energy without anion corrections comes out at -2.281 eV/atom.



[3]
The following is a PBE calculation of KNd2GaO5 after structural relaxation, from Alexandria via LeMat-Bulk.

abc: 7.4662 7.4662 7.4662
angles: 125.41 125.41 80.86
With the nearest neighbours (Å) after each atom.
Sites, in units of the cell vectors:
K1 0.2500 0.2500 0.0000  10 O 2.84-2.97
K2 0.7500 0.7500 0.0000  10 O 2.84-2.97
Nd1 0.1805 0.6805 0.8609  4 O 2.34-2.51
Nd2 0.3195 0.1805 0.5000  4 O 2.34-2.51
Nd3 0.6805 0.8195 0.5000  4 O 2.34-2.51
Nd4 0.8195 0.3195 0.1391  4 O 2.34-2.51
Ga1 0.2500 0.7500 0.5000  4 O 1.87
Ga2 0.7500 0.2500 0.5000  4 O 1.87
O1 0.0000 0.0000 0.0000  4 Nd 2.51
O2 0.0028 0.2303 0.5000  1 Ga 1.87
O3 0.2303 0.7303 0.2276  1 Ga 1.87
O4 0.2697 0.4972 0.5000  1 Ga 1.87
O5 0.4972 0.9972 0.2276  1 Ga 1.87
O6 0.5000 0.5000 0.0000  4 Nd 2.51
O7 0.5028 0.0028 0.7724  1 Ga 1.87
O8 0.7303 0.5028 0.5000  1 Ga 1.87
O9 0.7697 0.2697 0.7724  1 Ga 1.87
O10 0.9972 0.7697 0.5000  1 Ga 1.87

Computed properties:
The value obtained for the calculated volume is 133.3 Å³/f.u. The formation energy without anion corrections comes out at -2.620 eV/atom.



[4]
The following is a PBE calculation of K3Nd3GaO8 after structural relaxation, from Alexandria via LeMat-Bulk.

abc: 7.5047 7.5047 7.5047
angles: 55.99 55.99 55.99
With the nearest neighbours (Å) after each atom.
Sites, in units of the cell vectors:
K1 0.0000 0.5000 0.5000  6 O 2.82
K2 0.5000 0.0000 0.5000  6 O 2.82
K3 0.5000 0.5000 0.0000  6 O 2.82
Nd1 0.0000 0.0000 0.5000  6 O 2.36-2.42
Nd2 0.0000 0.5000 0.0000  6 O 2.36-2.42
Nd3 0.5000 0.0000 0.0000  6 O 2.36-2.42
Ga1 0.5000 0.5000 0.5000  6 O 2.12
O1 0.2302 0.2302 0.2302  3 Nd 2.36
O2 0.2610 0.7067 0.7067  1 Ga 2.12
O3 0.2933 0.2933 0.7390  1 Ga 2.12
O4 0.2933 0.7390 0.2933  1 Ga 2.12
O5 0.7067 0.2610 0.7067  1 Ga 2.12
O6 0.7067 0.7067 0.2610  1 Ga 2.12
O7 0.7390 0.2933 0.2933  1 Ga 2.12
O8 0.7698 0.7698 0.7698  3 Nd 2.36

Computed properties:
The value obtained for the calculated volume is 271.1 Å³/f.u. The formation energy without anion corrections comes out at -2.268 eV/atom.



[5]
The following is a PBE calculation of K2NdGaO4 after structural relaxation, from Alexandria via LeMat-Bulk.

abc: 6.0518 6.0518 6.0518
angles: 121.20 121.20 87.94
With the nearest neighbours (Å) after each atom.
Sites, in units of the cell vectors:
K1 0.0000 0.0000 0.0000  4 O 2.70
K2 0.7500 0.2500 0.5000  4 O 2.81
Nd1 0.5000 0.5000 0.0000  4 O 2.24
Ga1 0.2500 0.7500 0.5000  4 O 1.89
O1 0.2069 0.0841 0.5642  1 Ga 1.89
O2 0.3572 0.7931 0.8771  1 Ga 1.89
O3 0.5199 0.6428 0.4358  1 Ga 1.89
O4 0.9159 0.4801 0.1229  1 Ga 1.89

Computed properties:
The value obtained for the calculated volume is 153.8 Å³/f.u. The formation energy without anion corrections comes out at -2.156 eV/atom.



[6]
The following is a PBE calculation of K2NdGaS4 after structural relaxation, from Alexandria via LeMat-Bulk.

abc: 8.2754 8.2754 8.1047
angles: 117.99 117.99 91.78
With the nearest neighbours (Å) after each atom.
Sites, in units of the cell vectors:
K1 0.0000 0.0000 0.0000  6 S 3.16-3.40
K2 0.0000 0.0000 0.5000  6 S 3.16-3.40
K3 0.0000 0.5000 0.0000  6 S 2.97-3.16
K4 0.5000 0.0000 0.5000  6 S 2.97-3.16
Nd1 0.0000 0.5000 0.5000  6 S 2.81-2.94
Nd2 0.5000 0.0000 0.0000  6 S 2.81-2.94
Ga1 0.5000 0.5000 0.0000  2 S 2.36
Ga2 0.5000 0.5000 0.5000  2 S 2.36
S1 0.2608 0.7283 0.9732  1 Ga 2.78, 2 Nd 2.81-2.85, 1 K 2.97
S2 0.2717 0.7392 0.5268  1 Ga 2.78, 2 Nd 2.81-2.85, 1 K 2.97
S3 0.2956 0.3090 0.5152  1 Ga 2.36
S4 0.3090 0.2956 0.0152  1 Ga 2.36
S5 0.6910 0.7044 0.9848  1 Ga 2.36
S6 0.7044 0.6910 0.4848  1 Ga 2.36
S7 0.7283 0.2608 0.4732  1 Ga 2.78, 2 Nd 2.81-2.85, 1 K 2.97
S8 0.7392 0.2717 0.0268  1 Ga 2.78, 2 Nd 2.81-2.85, 1 K 2.97

Computed properties:
The value obtained for the calculated volume is 204.8 Å³/f.u. The formation energy without anion corrections comes out at -1.211 eV/atom.



[7]
The following is a PBE calculation of K4Nd3GaS8 after structural relaxation, from Alexandria via LeMat-Bulk.

abc: 8.2035 8.2035 8.7932
angles: 117.87 117.87 59.81
With the nearest neighbours (Å) after each atom.
Sites, in units of the cell vectors:
K1 0.0000 0.0000 0.0000  6 S 3.33-3.40
K2 0.0000 0.5000 0.0000  6 S 3.19-3.20
K3 0.5000 0.0000 0.0000  6 S 3.19-3.20
K4 0.5000 0.5000 0.0000  6 S 3.19-3.20
Nd1 0.0000 0.0000 0.5000  6 S 2.83-2.87
Nd2 0.0000 0.5000 0.5000  6 S 2.83-2.87
Nd3 0.5000 0.0000 0.5000  6 S 2.83-2.87
Ga1 0.5000 0.5000 0.5000  6 S 2.62-2.70
S1 0.2364 0.2364 0.7102  3 Nd 2.83
S2 0.2592 0.7189 0.6974  1 Ga 2.62, 2 Nd 2.87
S3 0.2747 0.2747 0.2977  1 Ga 2.70, 2 Nd 2.85
S4 0.2811 0.7408 0.3026  1 Ga 2.62, 2 Nd 2.87
S5 0.7189 0.2592 0.6974  1 Ga 2.62, 2 Nd 2.87
S6 0.7253 0.7253 0.7023  1 Ga 2.70, 2 Nd 2.85
S7 0.7408 0.2811 0.3026  1 Ga 2.62, 2 Nd 2.87
S8 0.7636 0.7636 0.2898  3 Nd 2.83

Computed properties:
The value obtained for the calculated volume is 430.8 Å³/f.u. The formation energy without anion corrections comes out at -1.532 eV/atom.



[8]
The following is a PBE calculation of K3Nd3GaSe8 after structural relaxation, from Alexandria via LeMat-Bulk.

abc: 8.4517 8.4517 9.2860
angles: 117.09 117.09 59.97
With the nearest neighbours (Å) after each atom.
Sites, in units of the cell vectors:
K1 0.0000 0.0000 0.0000  6 Se 3.33-3.36
K2 0.0000 0.5000 0.0000  6 Se 3.33-3.36
K3 0.5000 0.0000 0.0000  6 Se 3.33-3.36
Nd1 0.0000 0.5000 0.5000  6 Se 2.96-2.98
Nd2 0.5000 0.0000 0.5000  6 Se 2.96-2.98
Nd3 0.5000 0.5000 0.5000  6 Se 2.96-2.98
Ga1 0.0000 0.0000 0.5000  6 Se 2.71-2.72
Se1 0.2170 0.2170 0.6948  1 Ga 2.71, 2 Nd 2.98
Se2 0.2181 0.7593 0.6957  1 Ga 2.72, 2 Nd 2.98
Se3 0.2407 0.7819 0.3043  1 Ga 2.72, 2 Nd 2.98
Se4 0.2625 0.2625 0.2876  3 Nd 2.96
Se5 0.7375 0.7375 0.7124  3 Nd 2.96
Se6 0.7593 0.2181 0.6957  1 Ga 2.72, 2 Nd 2.98
Se7 0.7819 0.2407 0.3043  1 Ga 2.72, 2 Nd 2.98
Se8 0.7830 0.7830 0.3052  1 Ga 2.71, 2 Nd 2.98

Computed properties:
The value obtained for the calculated volume is 488.5 Å³/f.u. The formation energy without anion corrections comes out at -1.363 eV/atom.



[9]
The following is a PBE calculation of K2NdGaSe4 after structural relaxation, from Alexandria via LeMat-Bulk.

abc: 8.6585 8.6585 8.3912
angles: 118.13 118.13 91.76
With the nearest neighbours (Å) after each atom.
Sites, in units of the cell vectors:
K1 0.0000 0.0000 0.0000  6 Se 3.30-3.48
K2 0.0000 0.0000 0.5000  6 Se 3.30-3.48
K3 0.0000 0.5000 0.0000  6 Se 3.11-3.23
K4 0.5000 0.0000 0.5000  6 Se 3.11-3.23
Nd1 0.0000 0.5000 0.5000  6 Se 2.94-3.06
Nd2 0.5000 0.0000 0.0000  6 Se 2.94-3.06
Ga1 0.5000 0.5000 0.0000  2 Se 2.56
Ga2 0.5000 0.5000 0.5000  2 Se 2.56
Se1 0.2621 0.7314 0.9784  1 Ga 2.92, 2 Nd 2.94-2.97, 2 K 3.11-3.23
Se2 0.2686 0.7379 0.5216  1 Ga 2.92, 2 Nd 2.94-2.97, 2 K 3.11-3.23
Se3 0.2938 0.3075 0.5263  1 Ga 2.56
Se4 0.3075 0.2938 0.0263  1 Ga 2.56
Se5 0.6925 0.7062 0.9737  1 Ga 2.56
Se6 0.7062 0.6925 0.4737  1 Ga 2.56
Se7 0.7314 0.2621 0.4784  1 Ga 2.92, 2 Nd 2.94-2.97, 2 K 3.11-3.23
Se8 0.7379 0.2686 0.0216  1 Ga 2.92, 2 Nd 2.94-2.97, 2 K 3.11-3.23

Computed properties:
The value obtained for the calculated volume is 231.3 Å³/f.u. The formation energy without anion corrections comes out at -1.145 eV/atom.



[10]
The following is a PBE calculation of K3Nd3GaTe8 after structural relaxation, from Alexandria via LeMat-Bulk.

abc: 8.9489 8.9489 9.9941
angles: 116.64 116.64 60.01
With the nearest neighbours (Å) after each atom.
Sites, in units of the cell vectors:
K1 0.0000 0.0000 0.0000  6 Te 3.54-3.58
K2 0.0000 0.5000 0.0000  6 Te 3.54-3.58
K3 0.5000 0.0000 0.0000  6 Te 3.54-3.58
Nd1 0.0000 0.5000 0.5000  6 Te 3.18-3.19
Nd2 0.5000 0.0000 0.5000  6 Te 3.18-3.19
Nd3 0.5000 0.5000 0.5000  6 Te 3.18
Ga1 0.0000 0.0000 0.5000  6 Te 2.92-2.96
Te1 0.2197 0.2197 0.6992  1 Ga 2.92, 2 Nd 3.19
Te2 0.2226 0.7561 0.7011  1 Ga 2.96, 2 Nd 3.18
Te3 0.2439 0.7774 0.2989  1 Ga 2.96, 2 Nd 3.18
Te4 0.2610 0.2610 0.2835  3 Nd 3.18, 3 K 3.54
Te5 0.7390 0.7390 0.7165  3 Nd 3.18, 3 K 3.54
Te6 0.7561 0.2226 0.7011  1 Ga 2.96, 2 Nd 3.18
Te7 0.7774 0.2439 0.2989  1 Ga 2.96, 2 Nd 3.18
Te8 0.7803 0.7803 0.3008  1 Ga 2.92, 2 Nd 3.19

Computed properties:
The value obtained for the calculated volume is 593.0 Å³/f.u. The formation energy without anion corrections comes out at -1.059 eV/atom.



[11]
The following is a PBE calculation of KGa2Ni after structural relaxation, from Alexandria via LeMat-Bulk.

abc: 7.9860 7.9860 7.9860
angles: 136.51 136.51 63.19
With the nearest neighbours (Å) after each atom.
Sites, in units of the cell vectors:
K1 0.3750 0.6250 0.7500  8 Ga 3.72
K2 0.6250 0.3750 0.2500  8 Ga 3.72
Ga1 0.0000 0.0000 0.0000  2 Ni 2.25
Ga2 0.0000 0.0000 0.5000  2 Ni 2.25
Ga3 0.0000 0.5000 0.0000  2 Ni 2.25
Ga4 0.5000 0.0000 0.5000  2 Ni 2.25
Ni1 0.1250 0.8750 0.2500  4 Ga 2.25
Ni2 0.8750 0.1250 0.7500  4 Ga 2.25

Computed properties:
For the formation energy, the calculation gives -9 kJ/mol of formula units. The value obtained for the calculated volume is 119.1 Å³/f.u.



[12]
The following is a PBE calculation of KGa2Ni after structural relaxation, from Alexandria via LeMat-Bulk.

abc: 4.7913 4.7913 4.7913
angles: 60.00 60.00 60.00
With the nearest neighbours (Å) after each atom.
Sites, in units of the cell vectors:
K1 0.0000 0.0000 0.0000  8 Ga 2.93
Ga1 0.2500 0.2500 0.2500  4 K 2.93, 4 Ni 2.93
Ga2 0.7500 0.7500 0.7500  4 K 2.93, 4 Ni 2.93
Ni1 0.5000 0.5000 0.5000  8 Ga 2.93

Computed properties:
For the formation energy, the calculation gives 142 kJ/mol of formula units. The value obtained for the calculated volume is 77.8 Å³/f.u.



[13]
The following is a PBE calculation of KGaNi3 after structural relaxation, from Alexandria via LeMat-Bulk.

abc: 4.5245 4.5245 4.5245
angles: 90.00 90.00 90.00
With the nearest neighbours (Å) after each atom.
Sites, in units of the cell vectors:
K1 0.0000 0.0000 0.0000  6 Ni 2.26
Ga1 0.5000 0.5000 0.5000  12 Ni 3.20
Ni1 0.0000 0.0000 0.5000  2 K 2.26
Ni2 0.0000 0.5000 0.0000  2 K 2.26
Ni3 0.5000 0.0000 0.0000  2 K 2.26

Computed properties:
For the formation energy, the calculation gives 905 kJ/mol of formula units. The value obtained for the calculated volume is 92.6 Å³/f.u. The energy relative to the lowest polymorph listed for this composition is 1275 meV per atom.



[14]
The following is a PBE calculation of K3GaNi after structural relaxation, from Alexandria via LeMat-Bulk.

abc: 6.0738 6.0738 6.0738
angles: 90.00 90.00 90.00
With the nearest neighbours (Å) after each atom.
Sites, in units of the cell vectors:
K1 0.0000 0.0000 0.5000  2 Ni 3.04
K2 0.0000 0.5000 0.0000  2 Ni 3.04
K3 0.5000 0.0000 0.0000  2 Ni 3.04
Ga1 0.5000 0.5000 0.5000  12 K 4.29
Ni1 0.0000 0.0000 0.0000  6 K 3.04

Computed properties:
For the formation energy, the calculation gives 309 kJ/mol of formula units. The value obtained for the calculated volume is 224.1 Å³/f.u.



[15]
The following is a PBE calculation of KGaNi3 after structural relaxation, from Alexandria via LeMat-Bulk.

abc: 4.5578 4.5578 4.5578
angles: 90.00 90.00 90.00
With the nearest neighbours (Å) after each atom.
Sites, in units of the cell vectors:
K1 0.0000 0.0000 0.0000  12 Ni 3.22
Ga1 0.5000 0.5000 0.5000  6 Ni 2.28
Ni1 0.0000 0.5000 0.5000  2 Ga 2.28
Ni2 0.5000 0.0000 0.5000  2 Ga 2.28
Ni3 0.5000 0.5000 0.0000  2 Ga 2.28

Computed properties:
For the formation energy, the calculation gives 291 kJ/mol of formula units. The value obtained for the calculated volume is 94.7 Å³/f.u. The energy relative to the lowest polymorph listed for this composition is 0 meV per atom.



[16]
The following is a PBE calculation of KGaNi2 after structural relaxation, from Alexandria via LeMat-Bulk.

abc: 8.7807 8.7807 8.7807
angles: 148.15 148.15 45.67
With the nearest neighbours (Å) after each atom.
Sites, in units of the cell vectors:
K1 0.3750 0.6250 0.7500  8 Ni 3.37, 4 Ga 3.41
K2 0.6250 0.3750 0.2500  8 Ni 3.37, 4 Ga 3.41
Ga1 0.1250 0.8750 0.2500  4 Ni 2.35
Ga2 0.8750 0.1250 0.7500  4 Ni 2.35
Ni1 0.0000 0.0000 0.0000  2 Ga 2.35, 2 Ni 2.41
Ni2 0.0000 0.0000 0.5000  2 Ga 2.35, 2 Ni 2.41
Ni3 0.0000 0.5000 0.0000  2 Ga 2.35, 2 Ni 2.41
Ni4 0.5000 0.0000 0.5000  2 Ga 2.35, 2 Ni 2.41

Computed properties:
For the formation energy, the calculation gives 121 kJ/mol of formula units. The value obtained for the calculated volume is 94.0 Å³/f.u.



[17]
The following is a PBE calculation of KGa2Ni after structural relaxation, from Alexandria via LeMat-Bulk.

abc: 6.6583 6.6583 6.6583
angles: 36.70 36.70 36.70
With the nearest neighbours (Å) after each atom.
Sites, in units of the cell vectors:
K1 0.0000 0.0000 0.0000  8 Ga 3.56-3.59, 6 Ni 3.93
Ga1 0.1927 0.1927 0.1927  3 Ni 2.47, 3 Ga 2.61
Ga2 0.8073 0.8073 0.8073  3 Ni 2.47, 3 Ga 2.61
Ni1 0.5000 0.5000 0.5000  6 Ga 2.47

Computed properties:
For the formation energy, the calculation gives -72 kJ/mol of formula units. The value obtained for the calculated volume is 94.4 Å³/f.u.